# 1
! GGA-PBE Be2NbCu, relaxed; values from VASP
&SYSTEM
  ibrav = 0, nat = 4, ntyp = 3
/
ATOMIC_SPECIES
Be 9.01 Be.upf
Cu 63.55 Cu.upf
Nb 92.91 Nb.upf
CELL_PARAMETERS angstrom
3.301 0.000 0.000
0.000 3.839 0.000
0.000 0.000 3.839
ATOMIC_POSITIONS crystal
Be 0.000 0.000 0.500
Be 0.000 0.500 0.000
Cu 0.500 0.000 0.000
Nb 0.500 0.500 0.500
! energy relative to the lowest polymorph listed for this composition = 0.1509 eV/atom
! ΔE_f = 0.06 eV per atom
! total moment = 0.00 μB per formula unit
! volume = 48.6 Å³ per cell
! VASP energy = -0.196 Ha/atom

# 2
! GGA-PBE Nd4Zn3Cu, relaxed; values from VASP
&SYSTEM
  ibrav = 0, nat = 8, ntyp = 3
/
ATOMIC_SPECIES
Nd 144.24 Nd.upf
Zn 65.41 Zn.upf
Cu 63.55 Cu.upf
CELL_PARAMETERS angstrom
3.672 0.000 0.000
0.000 3.672 0.000
0.000 0.000 14.622
ATOMIC_POSITIONS crystal
Nd 0.000 0.000 0.627
Nd 0.000 0.000 0.878
Nd 0.000 0.000 0.122
Nd 0.000 0.000 0.373
Zn 0.500 0.500 0.751
Zn 0.500 0.500 0.249
Zn 0.500 0.500 0.500
Cu 0.500 0.500 0.000
! energy relative to the lowest polymorph listed for this composition = 0.0000 eV/atom
! ΔE_f = -0.26 eV per atom
! total moment = 0.00 μB per formula unit
! volume = 197.2 Å³ per cell
! VASP energy = -0.134 Ha/atom

# 3
! GGA-PBE SIO2, relaxed; values from VASP
&SYSTEM
  ibrav = 0, nat = 4, ntyp = 3
/
ATOMIC_SPECIES
O 16.00 O.upf
I 126.90 I.upf
S 32.06 S.upf
CELL_PARAMETERS angstrom
-5.560 -3.064 0.257
-3.080 -5.550 0.288
-3.886 -3.837 3.246
ATOMIC_POSITIONS crystal
O 0.879 0.879 0.879
O 0.121 0.121 0.121
I 0.000 0.000 0.000
S 0.500 0.500 0.500
! energy relative to the lowest polymorph listed for this composition = 0.4294 eV/atom
! raw formation energy = 0.44 eV per atom
! total moment = 0.00 μB per formula unit
! volume = 64.3 Å³ per cell
! VASP energy = -0.127 Ha/atom

# 4
! GGA-PBE K2AlBI, relaxed; values from VASP
&SYSTEM
  ibrav = 0, nat = 5, ntyp = 4
/
ATOMIC_SPECIES
K 39.10 K.upf
B 10.81 B.upf
Al 26.98 Al.upf
I 126.90 I.upf
CELL_PARAMETERS angstrom
-1.064 -6.550 1.182
5.743 -0.859 0.406
-0.282 1.240 6.620
ATOMIC_POSITIONS crystal
K 0.500 0.000 0.000
K 0.000 0.000 0.500
B 0.500 0.500 0.500
Al 0.000 0.000 0.000
I 0.000 0.500 0.000
! raw formation energy = 1.08 eV per atom
! total moment = 1.15 μB per formula unit
! volume = 264.5 Å³ per cell
! VASP energy = -0.064 Ha/atom

# 5
! GGA-PBE CeTlTe2, relaxed; values from VASP
&SYSTEM
  ibrav = 0, nat = 4, ntyp = 3
/
ATOMIC_SPECIES
Te 127.60 Te.upf
Tl 204.38 Tl.upf
Ce 140.12 Ce.upf
CELL_PARAMETERS angstrom
-3.984 -2.060 0.884
-0.297 -3.036 3.404
-3.421 4.426 6.718
ATOMIC_POSITIONS crystal
Te 0.262 0.262 0.214
Te 0.073 0.073 0.781
Tl 0.497 0.497 0.508
Ce 0.667 0.667 0.998
! raw formation energy = -0.98 eV per atom
! total moment = 1.00 μB per formula unit
! volume = 150.8 Å³ per cell
! VASP energy = -0.170 Ha/atom

# 6
! GGA-PBE Li2FeRu, relaxed; values from VASP
&SYSTEM
  ibrav = 0, nat = 4, ntyp = 3
/
ATOMIC_SPECIES
Li 6.94 Li.upf
Ru 101.07 Ru.upf
Fe 55.84 Fe.upf
CELL_PARAMETERS angstrom
4.039 0.000 0.000
2.019 3.498 0.000
2.019 1.166 3.298
ATOMIC_POSITIONS crystal
Li 0.000 0.000 0.000
Li 0.250 0.250 0.250
Ru 0.750 0.750 0.750
Fe 0.500 0.500 0.500
! energy relative to the lowest polymorph listed for this composition = 0.0690 eV/atom
! ΔE_f = 0.22 eV per atom
! total moment = 0.00 μB per formula unit
! volume = 46.6 Å³ per cell
! VASP energy = -0.190 Ha/atom

# 7
! GGA-PBE Rb2LiTe, relaxed; values from VASP
&SYSTEM
  ibrav = 0, nat = 8, ntyp = 3
/
ATOMIC_SPECIES
Rb 85.47 Rb.upf
Te 127.60 Te.upf
Li 6.94 Li.upf
CELL_PARAMETERS angstrom
-3.117 4.389 0.836
-3.630 -1.894 -3.594
-9.309 -4.708 7.755
ATOMIC_POSITIONS crystal
Rb 0.875 0.898 0.750
Rb 0.648 0.125 0.250
Rb 0.102 0.625 0.250
Rb 0.375 0.352 0.750
Te 0.000 0.000 0.000
Te 0.750 0.250 0.500
Li 0.500 0.500 0.000
Li 0.250 0.750 0.500
! raw formation energy = -0.22 eV per atom
! total moment = 0.69 μB per formula unit
! volume = 368.4 Å³ per cell
! VASP energy = -0.072 Ha/atom

# 8
! GGA-PBE Pr6Sm2Ho, relaxed; values from VASP
&SYSTEM
  ibrav = 0, nat = 18, ntyp = 3
/
ATOMIC_SPECIES
Pr 140.91 Pr.upf
Ho 164.93 Ho.upf
Sm 150.36 Sm.upf
CELL_PARAMETERS angstrom
8.342 0.000 0.000
0.000 8.342 0.000
0.000 0.000 10.626
ATOMIC_POSITIONS crystal
Pr 0.739 0.739 0.000
Pr 0.262 0.262 0.667
Pr 0.762 0.238 0.167
Pr 0.238 0.762 0.833
Pr 0.262 0.262 0.333
Pr 0.239 0.761 0.500
Pr 0.761 0.239 0.500
Pr 0.238 0.762 0.167
Pr 0.738 0.738 0.667
Pr 0.261 0.261 0.000
Pr 0.762 0.238 0.833
Pr 0.738 0.738 0.333
Ho 0.000 0.000 0.000
Ho 0.500 0.500 0.500
Sm 0.500 0.500 0.832
Sm 0.000 0.000 0.668
Sm 0.000 0.000 0.332
Sm 0.500 0.500 0.168
! energy relative to the lowest polymorph listed for this composition = 0.4574 eV/atom
! ΔE_f = 0.59 eV per atom
! total moment = 0.00 μB per formula unit
! volume = 739.5 Å³ per cell
! VASP energy = -0.153 Ha/atom

# 9
! GGA-PBE HfZnHg2, relaxed; values from VASP
&SYSTEM
  ibrav = 0, nat = 4, ntyp = 3
/
ATOMIC_SPECIES
Hf 178.49 Hf.upf
Zn 65.41 Zn.upf
Hg 200.59 Hg.upf
CELL_PARAMETERS angstrom
3.149 0.000 0.000
1.575 2.727 0.000
1.575 0.909 10.462
ATOMIC_POSITIONS crystal
Hf 0.000 0.000 0.000
Zn 0.500 0.500 0.500
Hg 0.093 0.093 0.721
Hg 0.907 0.907 0.279
! ΔE_f = 0.33 eV per atom
! total moment = 0.00 μB per formula unit
! volume = 89.9 Å³ per cell
! VASP energy = -0.096 Ha/atom